Compound: Mg5In2
Source: the Alexandria database
Functional: PBE
Structure: optimized geometry

## Properties
Density = 3.45 Mg/m³
Spin magnetization = 0.0 μB per formula unit
Symmetry = No. 63
VASP energy = -1.951 eV/atom

POSCAR file:
```
Mg5In2
1.0
2.1287 -17.4984 0.0000
2.1287 17.4984 0.0000
0.0000 0.0000 4.5341
Mg In
10 4
direct
0.0322 0.9678 0.7500 Mg
0.1062 0.8938 0.2500 Mg
0.2485 0.7515 0.7500 Mg
0.3229 0.6771 0.2500 Mg
0.4655 0.5345 0.7500 Mg
0.5345 0.4655 0.2500 Mg
0.6771 0.3229 0.7500 Mg
0.7515 0.2485 0.2500 Mg
0.8938 0.1062 0.7500 Mg
0.9678 0.0322 0.2500 Mg
0.1897 0.8103 0.2500 In
0.4067 0.5933 0.2500 In
0.5933 0.4067 0.7500 In
0.8103 0.1897 0.7500 In
```